4
Lattice="0.000 2.555 3.707 2.550 0.000 3.707 2.550 2.555 0.000" Properties=species:S:1:pos:R:3 comment="PBE CrNi2Rh, optimized geometry" density_g_cm3=9.36 space_group="Fmmm (69)" formation_energy_ev_per_atom=-0.0189 n_ef_per_ev_cell=6.00 pbc="T T T"
Cr 0.000 0.000 0.000
Ni 1.275 1.278 1.854
Ni 3.824 3.833 5.561
Rh 2.550 2.555 3.707

4
Lattice="1.615 0.933 8.299 -1.615 0.933 8.299 0.000 -1.865 8.299" Properties=species:S:1:pos:R:3 comment="PBE Pa2VC, optimized geometry" density_g_cm3=11.62 space_group="R-3m (166)" formation_energy_ev_per_atom=0.2602 relative_energy_mev_per_atom=0.0 n_ef_per_ev_cell=5.48 pbc="T T T"
Pa 0.000 0.000 2.602
Pa 0.000 0.000 22.296
V 0.000 0.000 0.000
C 0.000 0.000 12.449

12
Lattice="11.919 -3.966 0.000 11.919 3.966 0.000 -6.157 0.000 10.441" Properties=species:S:1:pos:R:3 comment="PBE K4Rb7Na, optimized geometry" density_g_cm3=1.31 space_group="C2/m (12)" formation_energy_ev_per_atom=0.0445 relative_energy_mev_per_atom=29.4 n_ef_per_ev_cell=9.38 pbc="T T T"
K 0.634 0.000 2.280
K -1.589 0.000 9.651
K 19.271 0.000 0.790
K 17.047 0.000 8.160
Rb -3.079 0.000 5.220
Rb 2.591 0.000 7.202
Rb 5.444 0.000 3.586
Rb 9.972 0.000 1.349
Rb 7.709 0.000 9.092
Rb 12.237 0.000 6.855
Rb 15.090 0.000 3.239
Na 8.841 0.000 5.220

5
Lattice="5.635 0.000 0.000 0.000 5.635 0.000 0.000 0.000 5.386" Properties=species:S:1:pos:R:3 comment="PBE SrAsPbSe2, optimized geometry" raw_formation_energy_ev_per_atom=-0.222 density_g_cm3=5.12 space_group="P4/mmm (123)" relative_energy_mev_per_atom=0.0 n_ef_per_ev_cell=5.23 pbc="T T T"
Sr 0.000 0.000 0.000
As 2.817 2.817 0.000
Pb 2.817 2.817 2.693
Se 0.000 2.817 2.693
Se 2.817 0.000 2.693